1.
Computed, not measured: an optimized crystal structure of Sm2Ag2Rh at the PBE-GGA level of DFT.

Unit cell a=4.5829 b=4.5829 c=7.0563 alpha=108.91 beta=108.91 gamma=59.78
Fractional coordinates of all 5 atoms:
Sm: 0.1003 0.1003 0.3000
Sm: 0.8997 0.8997 0.7000
Ag: 0.3496 0.3496 0.0481
Ag: 0.6504 0.6504 0.9519
Rh: 0.5000 0.5000 0.5000

- Energy relative to the elements: -39.40 kJ/mol of atoms
- M_tot: 0.00 μB per cell

=====

2.
Computed, not measured: an optimized crystal structure of Ba4HgSbI2 at the PBE-GGA level of DFT.

Unit cell a=8.8209 b=4.9596 c=8.9654 alpha=90.00 beta=108.20 gamma=90.00
Fractional coordinates of all 8 atoms:
Ba: 0.2372 0.0000 0.2192
Ba: 0.2555 0.5000 0.7766
Ba: 0.7445 0.5000 0.2234
Ba: 0.7628 0.0000 0.7808
Hg: 0.5000 0.0000 0.0000
Sb: 0.0000 0.5000 0.0000
I: 0.0000 0.0000 0.5000
I: 0.5000 0.5000 0.5000

- M_tot: 2.01 μB per cell
- Energy relative to the elements, uncorrected: -1.110 eV per atom

=====

3.
Computed, not measured: an optimized crystal structure of BaLiAs2Pb at the PBE-GGA level of DFT.

Unit cell a=7.5804 b=7.5804 c=10.0782 alpha=121.10 beta=121.10 gamma=36.29
Fractional coordinates of all 10 atoms:
Ba: 0.1832 0.1832 0.1841
Ba: 0.8168 0.8168 0.8159
Li: 0.3690 0.3690 0.5900
Li: 0.6310 0.6310 0.4100
As: 0.1662 0.1662 0.5455
As: 0.4665 0.4665 0.0991
As: 0.5335 0.5335 0.9009
As: 0.8338 0.8338 0.4545
Pb: 0.0537 0.0537 0.7225
Pb: 0.9463 0.9463 0.2775

- Energy relative to the elements: -60.79 kJ/mol of atoms
- M_tot: 0.00 μB per cell

=====

4.
Computed, not measured: an optimized crystal structure of Tc2AgMo at the PBE-GGA level of DFT.

Unit cell a=2.7499 b=2.7499 c=8.3184 alpha=90.00 beta=90.00 gamma=90.00
Fractional coordinates of all 4 atoms:
Tc: 0.0000 0.0000 0.0000
Tc: 0.5000 0.5000 0.2155
Ag: 0.0000 0.0000 0.4862
Mo: 0.5000 0.5000 0.7578

- Energy relative to the elements: 29.29 kJ/mol of atoms
- M_tot: 0.00 μB per cell
- Excess energy over the best structure of this formula in the dataset: 0.033 eV/atom

=====

5.
Computed, not measured: an optimized crystal structure of EuUN2 at the PBE-GGA level of DFT.

Unit cell a=3.0038 b=3.0038 c=6.1575 alpha=90.00 beta=90.00 gamma=90.00
Fractional coordinates of all 4 atoms:
Eu: 0.0000 0.0000 0.0000
U: 0.0000 0.0000 0.5000
N: 0.5000 0.5000 0.2805
N: 0.5000 0.5000 0.7195

- M_tot: 5.56 μB per cell
- Excess energy over the best structure of this formula in the dataset: 0.667 eV/atom
- Energy relative to the elements, uncorrected: -0.598 eV per atom

=====

6.
Computed, not measured: an optimized crystal structure of ZnFePt at the PBE-GGA level of DFT.

Unit cell a=4.1713 b=4.1713 c=4.1713 alpha=60.00 beta=60.00 gamma=60.00
Fractional coordinates of all 3 atoms:
Zn: 0.0000 0.0000 0.0000
Fe: 0.5000 0.5000 0.5000
Pt: 0.7500 0.7500 0.7500

- Energy relative to the elements: 0.16 kJ/mol of atoms
- M_tot: 3.24 μB per cell

=====

7.
Computed, not measured: an optimized crystal structure of In2Ag4Pb at the PBE-GGA level of DFT.

Unit cell a=8.0016 b=8.0016 c=8.0016 alpha=140.03 beta=140.03 gamma=57.80
Fractional coordinates of all 7 atoms:
In: 0.1085 0.1085 0.0000
In: 0.8915 0.8915 0.0000
Ag: 0.0000 0.5000 0.5000
Ag: 0.3005 0.3005 0.0000
Ag: 0.5000 0.0000 0.5000
Ag: 0.6995 0.6995 0.0000
Pb: 0.5000 0.5000 0.0000

- Energy relative to the elements: 39.21 kJ/mol of atoms
- M_tot: 0.00 μB per cell

=====

8.
Computed, not measured: an optimized crystal structure of Ho2ThH at the PBE-GGA level of DFT.

Unit cell a=3.3799 b=3.3799 c=8.4157 alpha=90.00 beta=90.00 gamma=90.00
Fractional coordinates of all 4 atoms:
Ho: 0.0000 0.0000 0.1964
Ho: 0.0000 0.0000 0.8036
Th: 0.5000 0.5000 0.5000
H: 0.5000 0.5000 0.0000

- M_tot: 0.00 μB per cell
- Excess energy over the best structure of this formula in the dataset: 0.152 eV/atom

=====

9.
Computed, not measured: an optimized crystal structure of Ru4PtRh7 at the PBE-GGA level of DFT.

Unit cell a=4.7069 b=5.4395 c=7.1838 alpha=79.05 beta=71.04 gamma=89.99
Fractional coordinates of all 12 atoms:
Ru: 0.0002 0.0859 0.1649
Ru: 0.9998 0.9141 0.8351
Ru: 0.4992 0.3308 0.1610
Ru: 0.5008 0.6692 0.8390
Pt: 0.5000 0.5000 0.5000
Rh: 0.0046 0.2454 0.4998
Rh: 0.0067 0.5846 0.1605
Rh: 0.4941 0.1642 0.8393
Rh: 0.5000 0.0000 0.5000
Rh: 0.5059 0.8358 0.1607
Rh: 0.9933 0.4154 0.8395
Rh: 0.9954 0.7546 0.5002

- Energy relative to the elements: 1.57 kJ/mol of atoms
- M_tot: 0.00 μB per cell
- Excess energy over the best structure of this formula in the dataset: 0.000 eV/atom

=====

10.
Computed, not measured: an optimized crystal structure of Mn3TlRh at the PBE-GGA level of DFT.

Unit cell a=4.8683 b=4.8683 c=4.8683 alpha=90.00 beta=90.00 gamma=90.00
Fractional coordinates of all 5 atoms:
Mn: 0.0000 0.0000 0.5000
Mn: 0.0000 0.5000 0.0000
Mn: 0.5000 0.0000 0.0000
Tl: 0.5000 0.5000 0.5000
Rh: 0.0000 0.0000 0.0000

- Energy relative to the elements: 73.22 kJ/mol of atoms
- M_tot: 13.64 μB per cell
- Excess energy over the best structure of this formula in the dataset: 0.000 eV/atom

=====

11.
Computed, not measured: an optimized crystal structure of La2TlInRu at the PBE-GGA level of DFT.

Unit cell a=5.3644 b=5.3644 c=5.3804 alpha=90.00 beta=90.00 gamma=90.00
Fractional coordinates of all 5 atoms:
La: 0.0000 0.5000 0.0000
La: 0.5000 0.0000 0.0000
Tl: 0.0000 0.0000 0.5000
In: 0.5000 0.5000 0.5000
Ru: 0.0000 0.0000 0.0000

- Energy relative to the elements: -26.16 kJ/mol of atoms
- M_tot: 0.00 μB per cell
- Excess energy over the best structure of this formula in the dataset: 0.065 eV/atom

=====

Question: M_tot of number 5 (EuUN2)?
Answer: 5.56 μB per cell